# 1
BaMgC3 GGA-PBE optimized geometry; ΔE_f = 16.5 eV/f.u.; space group = Pm-3m
1.0
4.701 0.000 0.000
0.000 4.701 0.000
0.000 0.000 4.701
Ba Mg C
1 1 3
Direct
0.000 0.000 0.000
0.500 0.500 0.500
0.000 0.000 0.500
0.000 0.500 0.000
0.500 0.000 0.000

# 2
BaMgC3 GGA-PBE optimized geometry; ΔE_f = 10.3 eV/f.u.; space group = Pm-3m
1.0
4.360 0.000 0.000
0.000 4.360 0.000
0.000 0.000 4.360
Ba Mg C
1 1 3
Direct
0.000 0.000 0.000
0.500 0.500 0.500
0.000 0.500 0.500
0.500 0.000 0.500
0.500 0.500 0.000

# 3
BaMg2C GGA-PBE optimized geometry; ΔE_f = 1.9 eV/f.u.; space group = I4_1/amd
1.0
-3.444 3.444 4.841
3.444 -3.444 4.841
3.444 3.444 -4.841
Ba Mg C
2 4 2
Direct
0.375 0.625 0.750
0.625 0.375 0.250
0.000 0.000 0.000
0.000 0.000 0.500
0.000 0.500 0.000
0.500 0.000 0.500
0.125 0.875 0.250
0.875 0.125 0.750

# 4
BaMg6C GGA-PBE optimized geometry; ΔE_f = 2.6 eV/f.u.; space group = Amm2
1.0
3.530 0.000 0.000
0.000 2.889 10.572
0.000 -2.889 10.572
Ba Mg C
1 6 1
Direct
0.000 0.000 0.000
0.000 0.000 0.492
0.000 0.492 0.000
0.500 0.129 0.588
0.500 0.146 0.146
0.500 0.588 0.129
0.500 0.619 0.619
0.000 0.331 0.331

# 5
BaMg6C GGA-PBE optimized geometry; ΔE_f = 2.2 eV/f.u.; space group = Amm2
1.0
3.519 0.000 0.000
0.000 4.049 6.881
0.000 -4.049 6.881
Ba Mg C
1 6 1
Direct
0.000 0.000 0.000
0.000 0.051 0.393
0.000 0.393 0.051
0.000 0.560 0.560
0.500 0.216 0.557
0.500 0.557 0.216
0.500 0.760 0.760
0.500 0.244 0.244

# 6
Ba3MgC GGA-PBE optimized geometry; ΔE_f = 2.1 eV/f.u.; space group = Pm-3m
1.0
5.832 0.000 0.000
0.000 5.832 0.000
0.000 0.000 5.832
Ba Mg C
3 1 1
Direct
0.000 0.000 0.500
0.000 0.500 0.000
0.500 0.000 0.000
0.500 0.500 0.500
0.000 0.000 0.000